Record 1
VASP calculation (PBE) on an optimized crystal structure of Pa2Al2Fe15.

```
19
Lattice="4.1513 2.3967 4.2336 -4.1513 2.3967 4.2336 0.0000 -4.7935 4.2336" Properties=species:S:1:pos:R:3 pbc="T T T"
Pa 0.0000 0.0000 1.9377
Pa 0.0000 0.0000 10.7633
Al 0.0000 0.0000 5.0735
Al 0.0000 0.0000 7.6275
Fe -2.0756 -1.1984 4.2336
Fe 0.0000 -2.4079 4.1252
Fe -2.0853 1.2039 4.1252
Fe -1.2577 -2.1783 6.3505
Fe -2.5153 0.0000 6.3505
Fe -2.0853 -1.2039 8.5758
Fe -2.0756 1.1984 8.4673
Fe 1.2577 -2.1783 6.3505
Fe 0.0000 2.3967 4.2336
Fe -1.2577 2.1783 6.3505
Fe 2.0853 1.2039 4.1252
Fe 2.5153 0.0000 6.3505
Fe 1.2577 2.1783 6.3505
Fe 2.0853 -1.2039 8.5758
Fe 0.0000 2.4079 8.5758
```

Results
Its space-group type is R-3m (166). The calculation puts the energy relative to the elements at -11.0 kJ/mol of atoms.

---

Record 2
VASP calculation (PBE) on an optimized crystal structure of SbIrBr2.

```
4
Lattice="3.5932 0.0000 0.0000 0.0014 5.3978 0.0000 1.7747 2.6872 5.6908" Properties=species:S:1:pos:R:3 pbc="T T T"
Sb 0.0000 0.0000 0.0000
Ir 0.0007 2.6989 0.0000
Br 1.7967 2.6983 1.7541
Br 3.5726 5.3867 3.9367
```

Results
Its space-group type is P-1 (2). For the formation energy without anion corrections, the calculation gives 0.11 eV/atom. As for the polymorph energy (0 for the lowest one): 155 kJ/mol of formula units.

---

Total DFT energy (no corrections)
In order: -0.602; -0.292
Unit: Ry per atom